Here is an optimized crystal structure of Rb4Hf3AgTe8 from Alexandria via LeMat-Bulk. Energies are from PBE-GGA.

Results
- DOS(E_F): 14.5 states/eV per cell
- DFT total energy: -0.171 Ha/atom
- Size of the total moment: 0.00 μB per cell

The structure in CIF format:
```
data_Rb4Hf3AgTe8
_chemical_formula_sum 'Rb12 Hf9 Ag3 Te24'
_space_group_name_H-M_alt 'R -3 m'
_space_group_IT_number 166
_space_group_name_Hall '-R 3 2"'
_cell_length_a 8.6533
_cell_length_b 8.6533
_cell_length_c 25.4014
_cell_angle_alpha 90.00
_cell_angle_beta 90.00
_cell_angle_gamma 120.00
loop_
_atom_site_label
_atom_site_type_symbol
_atom_site_fract_x
_atom_site_fract_y
_atom_site_fract_z
_atom_site_occupancy
Rb1 Rb 0.0000 0.0000 0.0000 1
Rb2 Rb 0.0000 0.5000 0.0000 1
Hf1 Hf 0.0000 0.5000 0.5000 1
Ag1 Ag 0.0000 0.0000 0.5000 1
Te1 Te 0.0000 0.0000 0.2307 1
Te2 Te 0.0112 0.5056 0.7708 1
```

---

Here is an optimized crystal structure of RbHfAg2Te4 from Alexandria via LeMat-Bulk. Energies are from PBE-GGA.

Results
- DOS(E_F): 9.6 states/eV per cell
- DFT total energy: -0.149 Ha/atom
- Size of the total moment: 0.00 μB per cell

The structure in CIF format:
```
data_RbHfAg2Te4
_chemical_formula_sum 'Rb2 Hf2 Ag4 Te8'
_space_group_name_H-M_alt 'I 2 2 2'
_space_group_IT_number 23
_space_group_name_Hall 'I 2 2'
_cell_length_a 7.155
_cell_length_b 8.420
_cell_length_c 9.402
_cell_angle_alpha 90.00
_cell_angle_beta 90.00
_cell_angle_gamma 90.00
loop_
_atom_site_label
_atom_site_type_symbol
_atom_site_fract_x
_atom_site_fract_y
_atom_site_fract_z
_atom_site_occupancy
Rb1 Rb 0.000 0.000 0.000 1
Hf1 Hf 0.000 0.000 0.500 1
Ag1 Ag 0.000 0.500 0.156 1
Te1 Te 0.203 0.203 0.332 1
```

---

Here is an optimized crystal structure of Rb2HfAg2Te4 from Alexandria via LeMat-Bulk. Energies are from PBE-GGA.

Results
- DOS(E_F): 2.0 states/eV per cell
- DFT total energy: -0.149 Ha/atom
- Size of the total moment: 0.00 μB per cell

The structure in CIF format:
```
data_Rb2HfAg2Te4
_chemical_formula_sum 'Rb4 Hf2 Ag4 Te8'
_space_group_name_H-M_alt 'C 1 2/m 1'
_space_group_IT_number 12
_space_group_name_Hall '-C 2y'
_cell_length_a 16.480
_cell_length_b 4.380
_cell_length_c 8.659
_cell_angle_alpha 90.00
_cell_angle_beta 109.87
_cell_angle_gamma 90.00
loop_
_atom_site_label
_atom_site_type_symbol
_atom_site_fract_x
_atom_site_fract_y
_atom_site_fract_z
_atom_site_occupancy
Rb1 Rb 0.136 0.000 0.079 1
Hf1 Hf 0.000 0.000 0.500 1
Ag1 Ag 0.187 0.500 0.479 1
Te1 Te 0.011 0.500 0.276 1
Te2 Te 0.186 0.000 0.689 1
```

---

Here is an optimized crystal structure of RbHf2TlAg from Alexandria via LeMat-Bulk. Energies are from PBE-GGA.

Results
- E above lowest polymorph: 0 meV per atom
- Energy relative to the elements: 1376 meV/atom
- DOS(E_F): 5.8 states/eV per cell
- DFT total energy: -0.141 Ha/atom
- Size of the total moment: 0.93 μB per cell

The structure in CIF format:
```
data_RbHf2TlAg
_chemical_formula_sum 'Rb1 Hf2 Tl1 Ag1'
_space_group_name_H-M_alt 'P 4/m m m'
_space_group_IT_number 123
_space_group_name_Hall '-P 4 2'
_cell_length_a 5.402
_cell_length_b 5.402
_cell_length_c 6.521
_cell_angle_alpha 90.00
_cell_angle_beta 90.00
_cell_angle_gamma 90.00
loop_
_atom_site_label
_atom_site_type_symbol
_atom_site_fract_x
_atom_site_fract_y
_atom_site_fract_z
_atom_site_occupancy
Rb1 Rb 0.000 0.000 0.000 1
Hf1 Hf 0.000 0.500 0.500 1
Tl1 Tl 0.000 0.000 0.500 1
Ag1 Ag 0.500 0.500 0.000 1
```

---

Here is an optimized crystal structure of RbHf2TlAg from Alexandria via LeMat-Bulk. Energies are from PBE-GGA.

Results
- E above lowest polymorph: 875 meV per atom
- Energy relative to the elements: 2251 meV/atom
- DOS(E_F): 6.5 states/eV per cell
- DFT total energy: -0.109 Ha/atom
- Size of the total moment: 0.00 μB per cell

The structure in CIF format:
```
data_RbHf2TlAg
_chemical_formula_sum 'Rb1 Hf2 Tl1 Ag1'
_space_group_name_H-M_alt 'P 4/m m m'
_space_group_IT_number 123
_space_group_name_Hall '-P 4 2'
_cell_length_a 5.170
_cell_length_b 5.170
_cell_length_c 5.743
_cell_angle_alpha 90.00
_cell_angle_beta 90.00
_cell_angle_gamma 90.00
loop_
_atom_site_label
_atom_site_type_symbol
_atom_site_fract_x
_atom_site_fract_y
_atom_site_fract_z
_atom_site_occupancy
Rb1 Rb 0.000 0.000 0.000 1
Hf1 Hf 0.000 0.500 0.000 1
Tl1 Tl 0.000 0.000 0.500 1
Ag1 Ag 0.500 0.500 0.500 1
```

---

Here is an optimized crystal structure of HfRe3Ag from Alexandria via LeMat-Bulk. Energies are from PBE-GGA.

Results
- E above lowest polymorph: 0 meV per atom
- Energy relative to the elements: 2545 meV/atom
- DOS(E_F): 9.3 states/eV per cell
- DFT total energy: -0.275 Ha/atom
- Size of the total moment: 0.36 μB per cell

The structure in CIF format:
```
data_HfRe3Ag
_chemical_formula_sum 'Hf1 Re3 Ag1'
_space_group_name_H-M_alt 'P m -3 m'
_space_group_IT_number 221
_space_group_name_Hall '-P 4 2 3'
_cell_length_a 4.768
_cell_length_b 4.768
_cell_length_c 4.768
_cell_angle_alpha 90.00
_cell_angle_beta 90.00
_cell_angle_gamma 90.00
loop_
_atom_site_label
_atom_site_type_symbol
_atom_site_fract_x
_atom_site_fract_y
_atom_site_fract_z
_atom_site_occupancy
Hf1 Hf 0.000 0.000 0.000 1
Re1 Re 0.000 0.000 0.500 1
Ag1 Ag 0.500 0.500 0.500 1
```

---

Here is an optimized crystal structure of HfReAg2 from Alexandria via LeMat-Bulk. Energies are from PBE-GGA.

Results
- E above lowest polymorph: 25 meV per atom
- Energy relative to the elements: 605 meV/atom
- DOS(E_F): 15.2 states/eV per cell
- DFT total energy: -0.236 Ha/atom
- Size of the total moment: 0.00 μB per cell

The structure in CIF format:
```
data_HfReAg2
_chemical_formula_sum 'Hf4 Re4 Ag8'
_space_group_name_H-M_alt 'I -4 2 d'
_space_group_IT_number 122
_space_group_name_Hall 'I -4 2bw'
_cell_length_a 3.832
_cell_length_b 3.832
_cell_length_c 20.709
_cell_angle_alpha 90.00
_cell_angle_beta 90.00
_cell_angle_gamma 90.00
loop_
_atom_site_label
_atom_site_type_symbol
_atom_site_fract_x
_atom_site_fract_y
_atom_site_fract_z
_atom_site_occupancy
Hf1 Hf 0.000 0.000 0.000 1
Re1 Re 0.000 0.000 0.500 1
Ag1 Ag 0.242 0.250 0.625 1
```

---

Here is an optimized crystal structure of Hf2ReAg from Alexandria via LeMat-Bulk. Energies are from PBE-GGA.

Results
- E above lowest polymorph: 56 meV per atom
- Energy relative to the elements: -185 meV/atom
- DOS(E_F): 9.7 states/eV per cell
- DFT total energy: -0.330 Ha/atom
- Size of the total moment: 0.00 μB per cell

The structure in CIF format:
```
data_Hf2ReAg
_chemical_formula_sum 'Hf8 Re4 Ag4'
_space_group_name_H-M_alt 'F m -3 m'
_space_group_IT_number 225
_space_group_name_Hall '-F 4 2 3'
_cell_length_a 6.670
_cell_length_b 6.670
_cell_length_c 6.670
_cell_angle_alpha 90.00
_cell_angle_beta 90.00
_cell_angle_gamma 90.00
loop_
_atom_site_label
_atom_site_type_symbol
_atom_site_fract_x
_atom_site_fract_y
_atom_site_fract_z
_atom_site_occupancy
Hf1 Hf 0.250 0.250 0.250 1
Re1 Re 0.000 0.000 0.000 1
Ag1 Ag 0.000 0.000 0.500 1
```

---

Here is an optimized crystal structure of HfRe2Ag from Alexandria via LeMat-Bulk. Energies are from PBE-GGA.

Results
- E above lowest polymorph: 0 meV per atom
- Energy relative to the elements: 591 meV/atom
- DOS(E_F): 21.3 states/eV per cell
- DFT total energy: -0.325 Ha/atom
- Size of the total moment: 0.00 μB per cell

The structure in CIF format:
```
data_HfRe2Ag
_chemical_formula_sum 'Hf4 Re8 Ag4'
_space_group_name_H-M_alt 'F m -3 m'
_space_group_IT_number 225
_space_group_name_Hall '-F 4 2 3'
_cell_length_a 6.468
_cell_length_b 6.468
_cell_length_c 6.468
_cell_angle_alpha 90.00
_cell_angle_beta 90.00
_cell_angle_gamma 90.00
loop_
_atom_site_label
_atom_site_type_symbol
_atom_site_fract_x
_atom_site_fract_y
_atom_site_fract_z
_atom_site_occupancy
Hf1 Hf 0.000 0.000 0.000 1
Re1 Re 0.250 0.250 0.250 1
Ag1 Ag 0.000 0.000 0.500 1
```

---

Here is an optimized crystal structure of Hf2ReAg from Alexandria via LeMat-Bulk. Energies are from PBE-GGA.

Results
- E above lowest polymorph: 951 meV per atom
- Energy relative to the elements: 711 meV/atom
- DOS(E_F): 4.5 states/eV per cell
- DFT total energy: -0.297 Ha/atom
- Size of the total moment: 0.00 μB per cell

The structure in CIF format:
```
data_Hf2ReAg
_chemical_formula_sum 'Hf4 Re2 Ag2'
_space_group_name_H-M_alt 'I m m m'
_space_group_IT_number 71
_space_group_name_Hall '-I 2 2'
_cell_length_a 2.852
_cell_length_b 5.182
_cell_length_c 10.796
_cell_angle_alpha 90.00
_cell_angle_beta 90.00
_cell_angle_gamma 90.00
loop_
_atom_site_label
_atom_site_type_symbol
_atom_site_fract_x
_atom_site_fract_y
_atom_site_fract_z
_atom_site_occupancy
Hf1 Hf 0.000 0.000 0.243 1
Re1 Re 0.000 0.000 0.000 1
Ag1 Ag 0.000 0.000 0.500 1
```

---

Here is an optimized crystal structure of Hf2ReAg from Alexandria via LeMat-Bulk. Energies are from PBE-GGA.

Results
- E above lowest polymorph: 684 meV per atom
- Energy relative to the elements: 443 meV/atom
- DOS(E_F): 10.5 states/eV per cell
- DFT total energy: -0.307 Ha/atom
- Size of the total moment: 0.00 μB per cell

The structure in CIF format:
```
data_Hf2ReAg
_chemical_formula_sum 'Hf8 Re4 Ag4'
_space_group_name_H-M_alt 'I -4 2 d'
_space_group_IT_number 122
_space_group_name_Hall 'I -4 2bw'
_cell_length_a 7.413
_cell_length_b 7.413
_cell_length_c 5.824
_cell_angle_alpha 90.00
_cell_angle_beta 90.00
_cell_angle_gamma 90.00
loop_
_atom_site_label
_atom_site_type_symbol
_atom_site_fract_x
_atom_site_fract_y
_atom_site_fract_z
_atom_site_occupancy
Hf1 Hf 0.236 0.250 0.125 1
Re1 Re 0.000 0.000 0.000 1
Ag1 Ag 0.000 0.000 0.500 1
```

---

Here is an optimized crystal structure of HfReAg2 from Alexandria via LeMat-Bulk. Energies are from PBE-GGA.

Results
- E above lowest polymorph: 0 meV per atom
- Energy relative to the elements: 580 meV/atom
- DOS(E_F): 17.5 states/eV per cell
- DFT total energy: -0.237 Ha/atom
- Size of the total moment: 0.01 μB per cell

The structure in CIF format:
```
data_HfReAg2
_chemical_formula_sum 'Hf4 Re4 Ag8'
_space_group_name_H-M_alt 'F m -3 m'
_space_group_IT_number 225
_space_group_name_Hall '-F 4 2 3'
_cell_length_a 6.565
_cell_length_b 6.565
_cell_length_c 6.565
_cell_angle_alpha 90.00
_cell_angle_beta 90.00
_cell_angle_gamma 90.00
loop_
_atom_site_label
_atom_site_type_symbol
_atom_site_fract_x
_atom_site_fract_y
_atom_site_fract_z
_atom_site_occupancy
Hf1 Hf 0.000 0.000 0.000 1
Re1 Re 0.000 0.000 0.500 1
Ag1 Ag 0.250 0.250 0.250 1
```